[1]
Here is a relaxed structure of Ce2Y6ErTm3 from Alexandria via LeMat-Bulk. Energies are from PBE. Values from VASP.

Quantum ESPRESSO input file:
```
&SYSTEM
  ibrav = 0, nat = 12, ntyp = 4
/
ATOMIC_SPECIES
Ce 140.12 Ce.upf
Y 88.91 Y.upf
Er 167.26 Er.upf
Tm 168.93 Tm.upf
ATOMIC_POSITIONS angstrom
Ce 3.0663 3.5403 0.0000
Ce 3.0663 -3.5403 0.0000
Y -0.0071 1.7773 8.6575
Y 1.0161 0.0000 2.8906
Y -0.0071 -1.7773 8.6575
Y 4.0954 1.7773 2.8900
Y 3.0722 0.0000 8.6568
Y 4.0954 -1.7773 2.8900
Er 3.0663 0.0000 0.0000
Tm -1.0221 0.0000 5.7737
Tm 2.0442 1.7637 5.7737
Tm 2.0442 -1.7637 5.7737
CELL_PARAMETERS angstrom
3.0663 -5.3095 0.0000
3.0663 5.3095 0.0000
-2.0442 0.0000 11.5474
```

DFT formation energy	0.055	eV per atom


[2]
Here is a relaxed structure of InRh2Au from Alexandria via LeMat-Bulk. Energies are from PBE. Values from VASP.

Quantum ESPRESSO input file:
```
&SYSTEM
  ibrav = 0, nat = 4, ntyp = 3
/
ATOMIC_SPECIES
In 114.82 In.upf
Rh 102.91 Rh.upf
Au 196.97 Au.upf
ATOMIC_POSITIONS angstrom
In 0.0000 0.0000 0.0000
Rh 1.6125 1.6125 1.6125
Rh 3.2250 3.2250 3.2250
Au 4.8376 4.8376 4.8376
CELL_PARAMETERS angstrom
0.0000 3.2250 3.2250
3.2250 0.0000 3.2250
3.2250 3.2250 0.0000
```

DFT formation energy	0.001	eV per atom


[3]
Here is a relaxed structure of PuHf2Ti3N6 from Alexandria via LeMat-Bulk. Energies are from PBE. Values from VASP.

Quantum ESPRESSO input file:
```
&SYSTEM
  ibrav = 0, nat = 12, ntyp = 4
/
ATOMIC_SPECIES
Pu 244.00 Pu.upf
Hf 178.49 Hf.upf
Ti 47.87 Ti.upf
N 14.01 N.upf
ATOMIC_POSITIONS angstrom
Pu 0.0000 0.0000 0.0000
Hf 3.6462 0.0000 4.1038
Hf 8.6960 0.0000 2.0694
Ti -0.6868 0.0000 3.0866
Ti 4.3264 0.0000 1.0202
Ti 8.0158 0.0000 5.1530
N 1.4666 0.0000 3.6248
N 2.2767 0.0000 0.5235
N 6.4733 0.0000 1.6774
N 5.8689 0.0000 4.4959
N 10.0655 0.0000 5.6497
N 10.8756 0.0000 2.5484
CELL_PARAMETERS angstrom
6.8579 -1.5783 0.0000
6.8579 1.5783 0.0000
-1.3736 0.0000 6.1732
```

uncorrected formation energy	-1618	meV per atom


[4]
Here is a relaxed structure of MnTcGe2 from Alexandria via LeMat-Bulk. Energies are from PBE. Values from VASP.

Quantum ESPRESSO input file:
```
&SYSTEM
  ibrav = 0, nat = 4, ntyp = 3
/
ATOMIC_SPECIES
Mn 54.94 Mn.upf
Tc 98.00 Tc.upf
Ge 72.64 Ge.upf
ATOMIC_POSITIONS angstrom
Mn 0.0000 0.0000 0.0000
Tc 2.1333 2.1333 0.0000
Ge 0.0000 2.1333 1.5374
Ge 2.1333 0.0000 1.5374
CELL_PARAMETERS angstrom
4.2665 0.0000 0.0000
0.0000 4.2665 0.0000
0.0000 0.0000 3.0747
```

DFT formation energy	0.002	eV per atom
relative energy among the computed polymorphs	0.000	eV per atom


[5]
Here is a relaxed structure of Ca2CrAuN from Alexandria via LeMat-Bulk. Energies are from PBE. Values from VASP.

Quantum ESPRESSO input file:
```
&SYSTEM
  ibrav = 0, nat = 5, ntyp = 4
/
ATOMIC_SPECIES
Ca 40.08 Ca.upf
Cr 52.00 Cr.upf
Au 196.97 Au.upf
N 14.01 N.upf
ATOMIC_POSITIONS angstrom
Ca 0.0000 2.5373 0.0000
Ca 2.5373 0.0000 0.0000
Cr 0.0000 0.0000 1.8949
Au 2.5373 2.5373 1.8949
N 0.0000 0.0000 0.0000
CELL_PARAMETERS angstrom
5.0747 0.0000 0.0000
0.0000 5.0747 0.0000
0.0000 0.0000 3.7897
```

uncorrected formation energy	-620	meV per atom


[6]
Here is a relaxed structure of CeTm2Cl from Alexandria via LeMat-Bulk. Energies are from PBE. Values from VASP.

Quantum ESPRESSO input file:
```
&SYSTEM
  ibrav = 0, nat = 4, ntyp = 3
/
ATOMIC_SPECIES
Ce 140.12 Ce.upf
Tm 168.93 Tm.upf
Cl 35.45 Cl.upf
ATOMIC_POSITIONS angstrom
Ce 0.0000 0.0000 0.0000
Tm 0.0000 0.0000 3.2593
Tm 0.0000 0.0000 29.7045
Cl 0.0000 0.0000 16.4819
CELL_PARAMETERS angstrom
1.6513 0.9534 10.9879
-1.6513 0.9534 10.9879
0.0000 -1.9068 10.9879
```

uncorrected formation energy	-360	meV per atom


For reference, spin magnetization by record: 0.154, 0.244, 0.376, 0.507, 0.600, 0.003 μB/atom.